# 1
# Pm6Si2Se3Br PBE optimized geometry
# total moment = 0.000 μB per cell
data_Pm6Si2Se3Br
_cell_length_a 18.432
_cell_length_b 4.207
_cell_length_c 8.550
_cell_angle_alpha 90.00
_cell_angle_beta 102.46
_cell_angle_gamma 90.00
_symmetry_space_group_name_H-M 'C 1 2/m 1'
_symmetry_Int_Tables_number 12
_symmetry_space_group_name_Hall '-C 2y'
loop_
_atom_site_label
_atom_site_type_symbol
_atom_site_fract_x
_atom_site_fract_y
_atom_site_fract_z
_atom_site_occupancy
Pm1 Pm 0.009 0.000 0.275 1
Pm2 Pm 0.169 0.500 0.578 1
Pm3 Pm 0.175 0.500 0.105 1
Si1 Si 0.167 0.000 0.334 1
Se1 Se 0.000 0.500 0.500 1
Se2 Se 0.160 0.000 0.838 1
Br1 Br 0.000 0.500 0.000 1

=====

# 2
# Pm8Si3SeBr4 PBE optimized geometry
# total moment = 0.000 μB per cell
data_Pm8Si3SeBr4
_cell_length_a 8.4761
_cell_length_b 8.4761
_cell_length_c 21.7337
_cell_angle_alpha 90.00
_cell_angle_beta 90.00
_cell_angle_gamma 120.00
_symmetry_space_group_name_H-M 'R -3 m'
_symmetry_Int_Tables_number 166
_symmetry_space_group_name_Hall '-R 3 2"'
loop_
_atom_site_label
_atom_site_type_symbol
_atom_site_fract_x
_atom_site_fract_y
_atom_site_fract_z
_atom_site_occupancy
Pm1 Pm 0.0000 0.0000 0.2365 1
Pm2 Pm 0.0109 0.5054 0.7638 1
Si1 Si 0.0000 0.5000 0.5000 1
Se1 Se 0.0000 0.0000 0.5000 1
Br1 Br 0.0000 0.0000 0.0000 1
Br2 Br 0.0000 0.5000 0.0000 1

=====

# 3
# Pm4SiSeBr2 PBE optimized geometry
# total moment = 0.000 μB per cell
data_Pm4SiSeBr2
_cell_length_a 7.347
_cell_length_b 4.255
_cell_length_c 7.567
_cell_angle_alpha 90.00
_cell_angle_beta 109.21
_cell_angle_gamma 90.00
_symmetry_space_group_name_H-M 'P 1 2/m 1'
_symmetry_Int_Tables_number 10
_symmetry_space_group_name_Hall '-P 2y'
loop_
_atom_site_label
_atom_site_type_symbol
_atom_site_fract_x
_atom_site_fract_y
_atom_site_fract_z
_atom_site_occupancy
Pm1 Pm 0.225 0.000 0.209 1
Pm2 Pm 0.250 0.500 0.791 1
Si1 Si 0.000 0.500 0.000 1
Se1 Se 0.500 0.000 0.000 1
Br1 Br 0.000 0.000 0.500 1
Br2 Br 0.500 0.500 0.500 1

=====

# 4
# Pm6Si2SeBr3 PBE optimized geometry
# total moment = 0.000 μB per cell
data_Pm6Si2SeBr3
_cell_length_a 18.955
_cell_length_b 4.242
_cell_length_c 8.708
_cell_angle_alpha 90.00
_cell_angle_beta 105.72
_cell_angle_gamma 90.00
_symmetry_space_group_name_H-M 'C 1 2/m 1'
_symmetry_Int_Tables_number 12
_symmetry_space_group_name_Hall '-C 2y'
loop_
_atom_site_label
_atom_site_type_symbol
_atom_site_fract_x
_atom_site_fract_y
_atom_site_fract_z
_atom_site_occupancy
Pm1 Pm 0.013 0.000 0.233 1
Pm2 Pm 0.161 0.500 0.113 1
Pm3 Pm 0.177 0.500 0.562 1
Si1 Si 0.167 0.000 0.334 1
Se1 Se 0.000 0.500 0.000 1
Br1 Br 0.000 0.500 0.500 1
Br2 Br 0.167 0.000 0.834 1

=====

# 5
# PmSmSeBr PBE optimized geometry
# total moment = 0.000 μB per cell
# energy relative to the lowest polymorph listed for this composition = 0.102 eV/atom
data_PmSmSeBr
_cell_length_a 7.278
_cell_length_b 7.278
_cell_length_c 7.278
_cell_angle_alpha 90.00
_cell_angle_beta 90.00
_cell_angle_gamma 90.00
_symmetry_space_group_name_H-M 'F -4 3 m'
_symmetry_Int_Tables_number 216
_symmetry_space_group_name_Hall 'F -4 2 3'
loop_
_atom_site_label
_atom_site_type_symbol
_atom_site_fract_x
_atom_site_fract_y
_atom_site_fract_z
_atom_site_occupancy
Pm1 Pm 0.000 0.000 0.000 1
Sm1 Sm 0.000 0.000 0.500 1
Se1 Se 0.250 0.250 0.750 1
Br1 Br 0.250 0.250 0.250 1

=====

# 6
# PmSmSeBr PBE optimized geometry
# total moment = 0.005 μB per cell
# energy relative to the lowest polymorph listed for this composition = 0.000 eV/atom
data_PmSmSeBr
_cell_length_a 6.837
_cell_length_b 3.967
_cell_length_c 8.291
_cell_angle_alpha 90.00
_cell_angle_beta 105.78
_cell_angle_gamma 90.00
_symmetry_space_group_name_H-M 'C 1 m 1'
_symmetry_Int_Tables_number 8
_symmetry_space_group_name_Hall 'C -2y'
loop_
_atom_site_label
_atom_site_type_symbol
_atom_site_fract_x
_atom_site_fract_y
_atom_site_fract_z
_atom_site_occupancy
Pm1 Pm 0.000 0.000 0.000 1
Sm1 Sm 0.186 0.000 0.562 1
Se1 Se 0.093 0.500 0.782 1
Br1 Br 0.261 0.500 0.284 1

=====

# 7
# Pm8Te4Se3Br PBE optimized geometry
# total moment = 0.000 μB per cell
data_Pm8Te4Se3Br
_cell_length_a 8.7185
_cell_length_b 8.7185
_cell_length_c 21.1277
_cell_angle_alpha 90.00
_cell_angle_beta 90.00
_cell_angle_gamma 120.00
_symmetry_space_group_name_H-M 'R -3 m'
_symmetry_Int_Tables_number 166
_symmetry_space_group_name_Hall '-R 3 2"'
loop_
_atom_site_label
_atom_site_type_symbol
_atom_site_fract_x
_atom_site_fract_y
_atom_site_fract_z
_atom_site_occupancy
Pm1 Pm 0.0000 0.0000 0.2386 1
Pm2 Pm 0.0133 0.5066 0.7597 1
Te1 Te 0.0000 0.0000 0.0000 1
Te2 Te 0.0000 0.5000 0.0000 1
Se1 Se 0.0000 0.5000 0.5000 1
Br1 Br 0.0000 0.0000 0.5000 1

=====

# 8
# Pm3TeSeBr PBE optimized geometry
# total moment = 0.000 μB per cell
data_Pm3TeSeBr
_cell_length_a 8.710
_cell_length_b 4.200
_cell_length_c 9.925
_cell_angle_alpha 90.00
_cell_angle_beta 101.42
_cell_angle_gamma 90.00
_symmetry_space_group_name_H-M 'P 1 21/m 1'
_symmetry_Int_Tables_number 11
_symmetry_space_group_name_Hall '-P 2yb'
loop_
_atom_site_label
_atom_site_type_symbol
_atom_site_fract_x
_atom_site_fract_y
_atom_site_fract_z
_atom_site_occupancy
Pm1 Pm 0.078 0.250 0.350 1
Pm2 Pm 0.181 0.250 0.983 1
Pm3 Pm 0.393 0.750 0.613 1
Te1 Te 0.322 0.750 0.274 1
Se1 Se 0.157 0.250 0.651 1
Br1 Br 0.385 0.750 0.904 1

=====

# 9
# PmYSeBr PBE optimized geometry
# total moment = 0.000 μB per cell
data_PmYSeBr
_cell_length_a 3.930
_cell_length_b 3.941
_cell_length_c 8.204
_cell_angle_alpha 76.28
_cell_angle_beta 76.22
_cell_angle_gamma 60.15
_symmetry_space_group_name_H-M 'P 1'
_symmetry_Int_Tables_number 1
_symmetry_space_group_name_Hall 'P 1'
loop_
_atom_site_label
_atom_site_type_symbol
_atom_site_fract_x
_atom_site_fract_y
_atom_site_fract_z
_atom_site_occupancy
Pm1 Pm 0.000 0.000 0.000 1
Y1 Y 0.810 0.812 0.569 1
Se1 Se 0.407 0.409 0.777 1
Br1 Br 0.234 0.235 0.296 1

=====

# 10
# Pm3Si2Br2 PBE optimized geometry
# total moment = 0.000 μB per cell
data_Pm3Si2Br2
_cell_length_a 4.151
_cell_length_b 7.297
_cell_length_c 7.821
_cell_angle_alpha 78.25
_cell_angle_beta 89.95
_cell_angle_gamma 73.68
_symmetry_space_group_name_H-M 'P -1'
_symmetry_Int_Tables_number 2
_symmetry_space_group_name_Hall '-P 1'
loop_
_atom_site_label
_atom_site_type_symbol
_atom_site_fract_x
_atom_site_fract_y
_atom_site_fract_z
_atom_site_occupancy
Pm1 Pm 0.000 0.000 0.000 1
Pm2 Pm 0.239 0.519 0.770 1
Si1 Si 0.378 0.246 0.107 1
Br1 Br 0.137 0.729 0.373 1

=====

# 11
# Pm12Si6Br PBE optimized geometry
# total moment = 0.006 μB per cell
data_Pm12Si6Br
_cell_length_a 14.1844
_cell_length_b 14.1844
_cell_length_c 10.2583
_cell_angle_alpha 90.00
_cell_angle_beta 90.00
_cell_angle_gamma 120.00
_symmetry_space_group_name_H-M 'R -3 m'
_symmetry_Int_Tables_number 166
_symmetry_space_group_name_Hall '-R 3 2"'
loop_
_atom_site_label
_atom_site_type_symbol
_atom_site_fract_x
_atom_site_fract_y
_atom_site_fract_z
_atom_site_occupancy
Pm1 Pm 0.0000 0.3612 0.0000 1
Pm2 Pm 0.0869 0.1737 0.8457 1
Si1 Si 0.0543 0.5272 0.7805 1
Br1 Br 0.0000 0.0000 0.5000 1

=====

# 12
# Pm7Si2Br2 PBE optimized geometry
# total moment = 0.003 μB per cell
data_Pm7Si2Br2
_cell_length_a 7.368
_cell_length_b 12.593
_cell_length_c 8.018
_cell_angle_alpha 90.00
_cell_angle_beta 102.77
_cell_angle_gamma 90.00
_symmetry_space_group_name_H-M 'C 1 2/m 1'
_symmetry_Int_Tables_number 12
_symmetry_space_group_name_Hall '-C 2y'
loop_
_atom_site_label
_atom_site_type_symbol
_atom_site_fract_x
_atom_site_fract_y
_atom_site_fract_z
_atom_site_occupancy
Pm1 Pm 0.000 0.000 0.000 1
Pm2 Pm 0.204 0.282 0.228 1
Pm3 Pm 0.218 0.500 0.632 1
Si1 Si 0.000 0.308 0.500 1
Br1 Br 0.162 0.000 0.696 1

=====

# 13
# Pm4SiBr4 PBE optimized geometry
# total moment = 0.000 μB per cell
data_Pm4SiBr4
_cell_length_a 7.081
_cell_length_b 7.081
_cell_length_c 11.825
_cell_angle_alpha 90.00
_cell_angle_beta 90.00
_cell_angle_gamma 90.00
_symmetry_space_group_name_H-M 'I -4 2 m'
_symmetry_Int_Tables_number 121
_symmetry_space_group_name_Hall 'I -4 2'
loop_
_atom_site_label
_atom_site_type_symbol
_atom_site_fract_x
_atom_site_fract_y
_atom_site_fract_z
_atom_site_occupancy
Pm1 Pm 0.203 0.203 0.153 1
Si1 Si 0.000 0.000 0.000 1
Br1 Br 0.000 0.000 0.343 1
Br2 Br 0.000 0.500 0.000 1

=====

# 14
# Pm2Si2Br PBE optimized geometry
# total moment = 0.000 μB per cell
data_Pm2Si2Br
_cell_length_a 18.548
_cell_length_b 3.909
_cell_length_c 7.982
_cell_angle_alpha 90.00
_cell_angle_beta 115.43
_cell_angle_gamma 90.00
_symmetry_space_group_name_H-M 'C 1 2/c 1'
_symmetry_Int_Tables_number 15
_symmetry_space_group_name_Hall '-C 2yc'
loop_
_atom_site_label
_atom_site_type_symbol
_atom_site_fract_x
_atom_site_fract_y
_atom_site_fract_z
_atom_site_occupancy
Pm1 Pm 0.148 0.000 0.148 1
Si1 Si 0.208 0.500 0.458 1
Br1 Br 0.000 0.001 0.250 1

=====

# 15
# Pm6Si2Br PBE optimized geometry
# total moment = 0.769 μB per cell
data_Pm6Si2Br
_cell_length_a 8.1547
_cell_length_b 8.1547
_cell_length_c 4.3017
_cell_angle_alpha 90.00
_cell_angle_beta 90.00
_cell_angle_gamma 120.00
_symmetry_space_group_name_H-M 'P -6 2 m'
_symmetry_Int_Tables_number 189
_symmetry_space_group_name_Hall 'P -6 -2'
loop_
_atom_site_label
_atom_site_type_symbol
_atom_site_fract_x
_atom_site_fract_y
_atom_site_fract_z
_atom_site_occupancy
Pm1 Pm 0.0000 0.4164 0.0000 1
Pm2 Pm 0.0000 0.7290 0.5000 1
Si1 Si 0.3333 0.6667 0.5000 1
Br1 Br 0.0000 0.0000 0.0000 1

=====

# 16
# Pm3SiBr3 PBE optimized geometry
# total moment = 0.000 μB per cell
# energy relative to the lowest polymorph listed for this composition = 0.000 eV/atom
data_Pm3SiBr3
_cell_length_a 11.932
_cell_length_b 11.932
_cell_length_c 11.932
_cell_angle_alpha 90.00
_cell_angle_beta 90.00
_cell_angle_gamma 90.00
_symmetry_space_group_name_H-M 'I 41 3 2'
_symmetry_Int_Tables_number 214
_symmetry_space_group_name_Hall 'I 4bd 2c 3'
loop_
_atom_site_label
_atom_site_type_symbol
_atom_site_fract_x
_atom_site_fract_y
_atom_site_fract_z
_atom_site_occupancy
Pm1 Pm 0.114 0.364 0.125 1
Si1 Si 0.125 0.125 0.125 1
Br1 Br 0.120 0.130 0.625 1

=====

# 17
# Pm4SiBr5 PBE optimized geometry
# total moment = 0.000 μB per cell
data_Pm4SiBr5
_cell_length_a 18.666
_cell_length_b 4.157
_cell_length_c 8.627
_cell_angle_alpha 90.00
_cell_angle_beta 103.40
_cell_angle_gamma 90.00
_symmetry_space_group_name_H-M 'C 1 2/m 1'
_symmetry_Int_Tables_number 12
_symmetry_space_group_name_Hall '-C 2y'
loop_
_atom_site_label
_atom_site_type_symbol
_atom_site_fract_x
_atom_site_fract_y
_atom_site_fract_z
_atom_site_occupancy
Pm1 Pm 0.000 0.000 0.224 1
Pm2 Pm 0.152 0.500 0.081 1
Si1 Si 0.000 0.500 0.000 1
Br1 Br 0.000 0.500 0.500 1
Br2 Br 0.167 0.000 0.332 1
Br3 Br 0.171 0.000 0.840 1

=====

# 18
# Pm2SiBr2 PBE optimized geometry
# total moment = 0.000 μB per cell
# energy relative to the lowest polymorph listed for this composition = 0.182 eV/atom
data_Pm2SiBr2
_cell_length_a 11.097
_cell_length_b 8.345
_cell_length_c 7.424
_cell_angle_alpha 90.00
_cell_angle_beta 109.50
_cell_angle_gamma 90.00
_symmetry_space_group_name_H-M 'P 1 21/c 1'
_symmetry_Int_Tables_number 14
_symmetry_space_group_name_Hall '-P 2ybc'
loop_
_atom_site_label
_atom_site_type_symbol
_atom_site_fract_x
_atom_site_fract_y
_atom_site_fract_z
_atom_site_occupancy
Pm1 Pm 0.007 0.122 0.273 1
Pm2 Pm 0.324 0.130 0.070 1
Si1 Si 0.162 0.137 0.673 1
Br1 Br 0.166 0.626 0.658 1
Br2 Br 0.473 0.711 0.593 1

=====

# 19
# Pm4SiBr PBE optimized geometry
# total moment = 0.000 μB per cell
data_Pm4SiBr
_cell_length_a 8.045
_cell_length_b 16.089
_cell_length_c 7.090
_cell_angle_alpha 90.00
_cell_angle_beta 123.73
_cell_angle_gamma 90.00
_symmetry_space_group_name_H-M 'C 1 2/c 1'
_symmetry_Int_Tables_number 15
_symmetry_space_group_name_Hall '-C 2yc'
loop_
_atom_site_label
_atom_site_type_symbol
_atom_site_fract_x
_atom_site_fract_y
_atom_site_fract_z
_atom_site_occupancy
Pm1 Pm 0.232 0.070 0.236 1
Pm2 Pm 0.232 0.196 0.743 1
Si1 Si 0.000 0.062 0.750 1
Br1 Br 0.000 0.438 0.250 1

=====

# 20
# PmSiBr PBE optimized geometry
# total moment = 0.000 μB per cell
# energy relative to the lowest polymorph listed for this composition = 0.000 eV/atom
data_PmSiBr
_cell_length_a 7.122
_cell_length_b 4.112
_cell_length_c 11.542
_cell_angle_alpha 90.00
_cell_angle_beta 91.58
_cell_angle_gamma 90.00
_symmetry_space_group_name_H-M 'C 1 2/m 1'
_symmetry_Int_Tables_number 12
_symmetry_space_group_name_Hall '-C 2y'
loop_
_atom_site_label
_atom_site_type_symbol
_atom_site_fract_x
_atom_site_fract_y
_atom_site_fract_z
_atom_site_occupancy
Pm1 Pm 0.008 0.000 0.171 1
Si1 Si 0.166 0.500 0.993 1
Br1 Br 0.182 0.500 0.334 1

=====

# 21
# Pm12Si5Br2 PBE optimized geometry
# total moment = 0.001 μB per cell
data_Pm12Si5Br2
_cell_length_a 16.842
_cell_length_b 7.569
_cell_length_c 9.264
_cell_angle_alpha 90.00
_cell_angle_beta 104.16
_cell_angle_gamma 90.00
_symmetry_space_group_name_H-M 'C 1 2/m 1'
_symmetry_Int_Tables_number 12
_symmetry_space_group_name_Hall '-C 2y'
loop_
_atom_site_label
_atom_site_type_symbol
_atom_site_fract_x
_atom_site_fract_y
_atom_site_fract_z
_atom_site_occupancy
Pm1 Pm 0.006 0.000 0.279 1
Pm2 Pm 0.020 0.500 0.806 1
Pm3 Pm 0.148 0.253 0.565 1
Pm4 Pm 0.175 0.249 0.103 1
Si1 Si 0.000 0.500 0.500 1
Si2 Si 0.177 0.000 0.837 1
Si3 Si 0.198 0.000 0.355 1
Br1 Br 0.000 0.211 0.000 1

=====

no.,formation energy without anion corrections (eV per atom)
1,-1.42
2,-1.20
3,-1.30
4,-1.23
5,-1.32
6,-1.42
7,-1.52
8,-1.38
9,-1.38
10,-0.92
11,-0.35
12,-0.44
13,-0.88
14,-1.00
15,-0.50
16,-1.43
17,-1.52
18,-1.20
19,-0.56
20,-1.26
21,-0.50